This record from the Alexandria database describes a geometry-optimized Li2MnS2O8 structure. The functional is PBE+U.

Values from the calculation:
spin magnetization: 0.385 μB/atom
E above lowest polymorph: 0 meV/atom

Lattice parameters (Å, degrees): 5.059 8.429 9.034 90.00 121.01 90.00
Positions (direct):
1 Li 0.019 0.133 0.105
2 Li 0.019 0.367 0.605
3 Li 0.981 0.633 0.395
4 Li 0.981 0.867 0.895
5 Mn 0.000 0.000 0.500
6 Mn 0.000 0.500 0.000
7 S 0.326 0.697 0.796
8 S 0.326 0.803 0.296
9 S 0.674 0.197 0.704
10 S 0.674 0.303 0.204
11 O 0.175 0.586 0.649
12 O 0.175 0.914 0.149
13 O 0.190 0.640 0.242
14 O 0.190 0.860 0.742
15 O 0.275 0.648 0.938
16 O 0.275 0.852 0.438
17 O 0.336 0.201 0.637
18 O 0.336 0.299 0.137
19 O 0.664 0.701 0.863
20 O 0.664 0.799 0.363
21 O 0.725 0.148 0.562
22 O 0.725 0.352 0.062
23 O 0.810 0.140 0.258
24 O 0.810 0.360 0.758
25 O 0.825 0.086 0.851
26 O 0.825 0.414 0.351